# SnPb5

A geometry-optimized SnPb5 structure (GGA-PBE, Alexandria).

## Properties
- energy of formation from the pure elements (eV/atom) = 0.0429
- excess energy over the best structure of this formula in the dataset (eV/atom) = 0.018

Unit cell a=6.032 b=17.858 c=3.473 alpha=90.00 beta=90.00 gamma=90.00
Space group Cmmm (No. 65)
Symmetry-distinct sites (fractional):
Sn 0.000 0.000 0.000 [2 per cell]
Pb 0.000 0.161 0.500 [4 per cell]
Pb 0.000 0.331 0.000 [4 per cell]
Pb 0.000 0.500 0.500 [2 per cell]


# Sn5Pb4

A geometry-optimized Sn5Pb4 structure (GGA-PBE, Alexandria).

## Properties
- energy of formation from the pure elements (eV/atom) = 0.0565

Unit cell a=12.433 b=12.433 c=3.430 alpha=90.00 beta=90.00 gamma=90.00
Space group I4/mmm (No. 139)
Symmetry-distinct sites (fractional):
Sn 0.000 0.000 0.000 [2 per cell]
Sn 0.168 0.168 0.500 [8 per cell]
Pb 0.000 0.326 0.000 [8 per cell]


# Sn3Pb2

A geometry-optimized Sn3Pb2 structure (GGA-PBE, Alexandria).

## Properties
- energy of formation from the pure elements (eV/atom) = 0.0970
- excess energy over the best structure of this formula in the dataset (eV/atom) = 0.047

Unit cell a=6.068 b=14.779 c=6.929 alpha=90.00 beta=90.52 gamma=90.00
Space group C2/m (No. 12)
Symmetry-distinct sites (fractional):
Sn 0.003 0.000 0.287 [4 per cell]
Sn 0.003 0.398 0.217 [8 per cell]
Pb 0.000 0.170 0.000 [4 per cell]
Pb 0.250 0.250 0.500 [4 per cell]


# SnPb6

A geometry-optimized SnPb6 structure (GGA-PBE, Alexandria).

## Properties
- energy of formation from the pure elements (eV/atom) = 0.6138
- excess energy over the best structure of this formula in the dataset (eV/atom) = 0.541

Unit cell a=8.547 b=8.547 c=8.547 alpha=90.00 beta=90.00 gamma=90.00
Space group Im-3m (No. 229)
Symmetry-distinct sites (fractional):
Sn 0.000 0.000 0.000 [2 per cell]
Pb 0.000 0.250 0.500 [12 per cell]


# SnPb4

A geometry-optimized SnPb4 structure (GGA-PBE, Alexandria).

## Properties
- energy of formation from the pure elements (eV/atom) = 0.5096
- excess energy over the best structure of this formula in the dataset (eV/atom) = 0.484

Unit cell a=5.821 b=5.821 c=5.821 alpha=90.00 beta=90.00 gamma=90.00
Space group Pm-3m (No. 221)
Symmetry-distinct sites (fractional):
Sn 0.000 0.000 0.000 [1 per cell]
Pb 0.000 0.000 0.500 [3 per cell]
Pb 0.500 0.500 0.500 [1 per cell]


# SnPb5

A geometry-optimized SnPb5 structure (GGA-PBE, Alexandria).

## Properties
- energy of formation from the pure elements (eV/atom) = 0.0359
- excess energy over the best structure of this formula in the dataset (eV/atom) = 0.011

Unit cell a=5.897 b=10.382 c=6.092 alpha=90.00 beta=90.00 gamma=90.00
Space group Cmmm (No. 65)
Symmetry-distinct sites (fractional):
Sn 0.000 0.000 0.000 [2 per cell]
Pb 0.000 0.164 0.500 [4 per cell]
Pb 0.000 0.334 0.000 [4 per cell]
Pb 0.000 0.500 0.500 [2 per cell]


> Look up the energy of formation from the pure elements of the third one.

0.0970 eV/atom


> Among the records above, which one has the highest energy of formation from the pure elements?

SnPb6


> Which formula does entry 6 have?

SnPb5